No. 1
Density functional theory data (PBE) for a geometry-optimized Mg2Ag2Ge structure.

a b c (Å): 4.0084 4.0084 13.0727
angles (deg): 90.00 90.00 90.00
Space group I4/mmm (No. 139)
One atom of each set of equivalent atoms:
Mg1 0.0000 0.5000 0.2500
Ag1 0.0000 0.0000 0.1033
Ge1 0.0000 0.0000 0.5000

Values from the calculation:
E above lowest polymorph = 0.243 eV per atom
density = 5.33 g cm⁻³

---

No. 2
Density functional theory data (PBE) for a geometry-optimized CaGa6Pd6 structure.

a b c (Å): 5.5214 8.3701 9.5091
angles (deg): 90.00 90.00 90.00
Space group Immm (No. 71)
One atom of each set of equivalent atoms:
Ca1 0.0000 0.0000 0.0000
Ga1 0.0000 0.0000 0.3434
Ga2 0.0000 0.3513 0.0000
Ga3 0.0000 0.5000 0.3215
Pd1 0.0000 0.2601 0.5000
Pd2 0.2500 0.2500 0.2500

Values from the calculation:
density = 8.29 g cm⁻³

---

No. 3
Density functional theory data (PBE) for a geometry-optimized Re2SiTc structure.

a b c (Å): 4.0923 4.0923 13.0873
angles (deg): 90.00 90.00 120.00
Space group R3m (No. 160, hexagonal axes)
One atom of each set of equivalent atoms:
Re1 0.0000 0.0000 0.0000
Re2 0.0000 0.0000 0.1901
Si1 0.0000 0.0000 0.5970
Tc1 0.0000 0.0000 0.4068

Values from the calculation:
E_form (uncorrected) = 0.1371 eV per atom
density = 13.08 g cm⁻³

---

No. 4
Density functional theory data (PBE) for a geometry-optimized Ac2AgSn4 structure.

a b c (Å): 5.3196 5.3196 16.6959
angles (deg): 90.00 90.00 90.00
Space group I4/mmm (No. 139)
One atom of each set of equivalent atoms:
Ac1 0.0000 0.0000 0.1377
Ag1 0.0000 0.0000 0.5000
Sn1 0.0000 0.0000 0.3357
Sn2 0.0000 0.5000 0.0000

Values from the calculation:
density = 7.29 g cm⁻³

---

No. 5
Density functional theory data (PBE) for a geometry-optimized Ca6P2SCl3 structure.

a b c (Å): 7.1609 12.4075 7.1281
angles (deg): 90.00 109.51 90.00
Space group C2/m (No. 12)
One atom of each set of equivalent atoms:
Ca1 0.2348 0.0000 0.2173
Ca2 0.2415 0.3313 0.2186
P1 0.0000 0.1671 0.0000
S1 0.0000 0.5000 0.0000
Cl1 0.0000 0.0000 0.5000
Cl2 0.0000 0.3375 0.5000

Values from the calculation:
E_form (uncorrected) = -1.7415 eV per atom
density = 2.45 g cm⁻³

---

No. 6
Density functional theory data (PBE) for a geometry-optimized NaLa2RhO5 structure.

a b c (Å): 6.9667 6.9667 5.8315
angles (deg): 90.00 90.00 90.00
Space group P4/mbm (No. 127)
One atom of each set of equivalent atoms:
Na1 0.0000 0.0000 0.0000
La1 0.1794 0.3206 0.5000
Rh1 0.0000 0.5000 0.0000
O1 0.0000 0.0000 0.5000
O2 0.1342 0.6342 0.2471

Values from the calculation:
E_form (uncorrected) = -2.2513 eV per atom
density = 5.68 g cm⁻³

---

No. 7
Density functional theory data (PBE) for a geometry-optimized Rb2TiIBr6 structure.

a b c (Å): 6.7208 7.3700 8.8298
angles (deg): 69.38 69.16 84.89
Space group P-1 (No. 2)
One atom of each set of equivalent atoms:
Rb1 0.1769 0.3461 0.2664
Ti1 0.0000 0.0000 0.0000
I1 0.5000 0.5000 0.5000
Br1 0.0697 0.8579 0.2841
Br2 0.2255 0.7453 0.8906
Br3 0.3285 0.2180 0.8759

Values from the calculation:
E_form (uncorrected) = -1.2177 eV per atom
E above lowest polymorph = 0.000 eV per atom
density = 3.58 g cm⁻³

---

No. 8
Density functional theory data (PBE) for a geometry-optimized Pm2CuIr2 structure.

a b c (Å): 9.8811 5.5137 7.9987
angles (deg): 90.00 105.99 90.00
Space group C2/c (No. 15)
One atom of each set of equivalent atoms:
Pm1 0.1470 0.1468 0.1497
Cu1 0.0000 0.3566 0.7500
Ir1 0.1334 0.3571 0.5123

Values from the calculation:
E above lowest polymorph = 0.022 eV per atom
density = 11.70 g cm⁻³

---

Calculated size of the total moment in order - 0.000; 0.000; 0.000; 0.000; 0.000; 0.222; 0.000; 0.000 μB/atom
Calculated VASP energy in order - -25.15; -118.31; -120.41; -57.37; -106.79; -127.16; -33.59; -136.26 eV for the cell shown